Material: Bi2Te3
Method: DFT, GGA-PBE
State: relaxed

a b c (Å): 21.0252 7.9052 7.9052
angles (deg): 133.14 144.87 35.13
Closest atoms and distances in Å follow each position.
Element x y z (fractional)
Te  0.2365  0.6455  0.3545  3 Bi 3.00-3.19
Te  0.9311  0.4355  0.5645  3 Bi 2.94-3.17
Te  0.7635  0.3545  0.6455  3 Bi 3.00-3.19
Te  0.6307  0.2362  0.7638  2 Bi 2.92-2.96
Te  0.0689  0.5645  0.4355  3 Bi 2.94-3.17
Te  0.3693  0.7638  0.2362  2 Bi 2.92-2.96
Bi  0.7792  0.8683  0.1317  4 Te 2.92-3.19
Bi  0.2208  0.1317  0.8683  4 Te 2.92-3.19
Bi  0.8990  0.9930  0.0070  4 Te 2.96-3.17
Bi  0.1010  0.0070  0.9930  4 Te 2.96-3.17

Output
**Magnetization**: 0.0 μB per formula unit
**Uncorrected formation energy**: -0.63 eV per formula unit
**ρ**: 6.12 g/cm³



Material: BiTe3
Method: DFT, GGA-PBE
State: relaxed

a b c (Å): 4.7424 4.4379 6.3366
angles (deg): 90.00 90.00 90.00
Closest atoms and distances in Å follow each position.
Element x y z (fractional)
Bi  0.0000  0.8336  0.0000  6 Te 3.17-3.25
Te  0.0000  0.8332  0.5000  2 Bi 3.17, 4 Te 3.25
Te  0.5000  0.3335  0.0000  2 Te 3.17, 4 Bi 3.25
Te  0.5000  0.3331  0.5000  6 Te 3.17-3.25

Output
**Magnetization**: 0.0 μB per formula unit
**Uncorrected formation energy**: -0.17 eV per formula unit
**ρ**: 7.37 g/cm³



Material: Bi2Te3
Method: DFT, GGA-PBE
State: relaxed

a b c (Å): 10.5161 10.5161 10.5161
angles (deg): 60.00 60.00 60.00
Closest atoms and distances in Å follow each position.
Element x y z (fractional)
Te  0.0000  0.5000  0.0000  4 Bi 3.22
Te  0.7500  0.7500  0.2500  4 Bi 3.22
Te  0.7500  0.2500  0.2500  4 Bi 3.22
Te  0.7500  0.2500  0.7500  4 Bi 3.22
Te  0.0000  0.0000  0.5000  4 Bi 3.22
Te  0.2500  0.7500  0.7500  4 Bi 3.22
Te  0.5000  0.0000  0.5000  4 Bi 3.22
Te  0.5000  0.5000  0.0000  4 Bi 3.22
Te  0.2500  0.2500  0.7500  4 Bi 3.22
Te  0.2500  0.7500  0.2500  4 Bi 3.22
Te  0.0000  0.5000  0.5000  4 Bi 3.22
Te  0.5000  0.0000  0.0000  4 Bi 3.22
Bi  0.6250  0.6250  0.1250  6 Te 3.22
Bi  0.1250  0.1250  0.6250  6 Te 3.22
Bi  0.6250  0.6250  0.6250  6 Te 3.22
Bi  0.1250  0.6250  0.1250  6 Te 3.22
Bi  0.1250  0.6250  0.6250  6 Te 3.22
Bi  0.1250  0.1250  0.1250  6 Te 3.22
Bi  0.6250  0.1250  0.6250  6 Te 3.22
Bi  0.6250  0.1250  0.1250  6 Te 3.22

Output
**Magnetization**: 0.0 μB per formula unit
**Uncorrected formation energy**: 0.26 eV per formula unit
**ρ**: 6.47 g/cm³